Entry 1:
# Cs2KF2

A relaxed structure of Cs2KF2 (GGA-PBEsol, Alexandria).

Computed properties:
- Total magnetization: 0.00 μB per cell
- DOS(E_F): 1.141 states/eV per cell
- Formation energy from raw total energies: -948.0 kJ/mol of formula units

Geometry as POSCAR:
```
Cs2KF2
1.0
-2.5704 2.5704 9.0546
2.5704 -2.5704 9.0546
2.5704 2.5704 -9.0546
Cs K F
2 1 2
Cartesian
0.0000 0.0000 3.4365
0.0000 0.0000 14.6727
0.0000 0.0000 9.0546
2.5704 0.0000 4.5273
0.0000 2.5704 4.5273
```

***

Entry 2:
# Cs2KF

A relaxed structure of Cs2KF (GGA-PBEsol, Alexandria).

Computed properties:
- Total magnetization: 0.00 μB per cell
- DOS(E_F): 3.436 states/eV per cell
- Formation energy from raw total energies: -500.1 kJ/mol of formula units

Geometry as POSCAR:
```
Cs2KF
1.0
-4.5246 4.5246 6.3494
4.5246 -4.5246 6.3494
4.5246 4.5246 -6.3494
Cs K F
4 2 2
Cartesian
-0.3556 2.2623 1.5874
2.2623 4.1690 4.7621
0.3556 6.7869 1.5874
-2.2623 4.8802 4.7621
4.5246 0.0000 3.1747
0.0000 0.0000 6.3494
0.0000 0.0000 0.0000
0.0000 4.5246 3.1747
```

***

Entry 3:
# Cs2KLaF6

A relaxed structure of Cs2KLaF6 (GGA-PBEsol, Alexandria).

Computed properties:
- Total magnetization: 0.00 μB per cell
- DOS(E_F): 0.000 states/eV per cell
- Formation energy from raw total energies: -3181.6 kJ/mol of formula units

Geometry as POSCAR:
```
Cs2KLaF6
1.0
0.0000 4.8209 4.8209
4.8209 0.0000 4.8209
4.8209 4.8209 0.0000
Cs K La F
2 1 1 6
Cartesian
2.4105 2.4105 2.4105
7.2314 7.2314 7.2314
0.0000 0.0000 0.0000
4.8209 4.8209 4.8209
4.8209 4.8209 2.5275
4.8209 2.5275 4.8209
7.1143 4.8209 4.8209
2.5275 4.8209 4.8209
4.8209 7.1143 4.8209
4.8209 4.8209 7.1143
```

***

Entry 4:
# Cs2KMnF6

A relaxed structure of Cs2KMnF6 (GGA-PBEsol, Alexandria).

Computed properties:
- Total magnetization: 4.00 μB per cell
- Formation energy from raw total energies: -2626.4 kJ/mol of formula units

Geometry as POSCAR:
```
Cs2KMnF6
1.0
-3.1227 3.1227 4.6515
3.1227 -3.1227 4.6515
3.1227 3.1227 -4.6515
Cs K Mn F
2 1 1 6
Cartesian
3.1227 0.0000 2.3257
0.0000 3.1227 2.3257
0.0000 0.0000 0.0000
0.0000 0.0000 4.6515
0.0000 0.0000 2.5381
1.8028 1.8028 0.0000
1.3198 -1.3198 4.6515
-1.3198 1.3198 4.6515
1.3198 1.3198 4.6515
0.0000 0.0000 6.7648
```

***

Entry 5:
# Cs2KMoF6

A relaxed structure of Cs2KMoF6 (GGA-PBEsol, Alexandria).

Computed properties:
- Total magnetization: 3.00 μB per cell
- DOS(E_F): 0.000 states/eV per cell
- Formation energy from raw total energies: -2559.3 kJ/mol of formula units

Geometry as POSCAR:
```
Cs2KMoF6
1.0
0.0000 4.5682 4.5682
4.5682 0.0000 4.5682
4.5682 4.5682 0.0000
Cs K Mo F
2 1 1 6
Cartesian
2.2841 2.2841 2.2841
6.8524 6.8524 6.8524
0.0000 0.0000 0.0000
4.5682 4.5682 4.5682
4.5682 4.5682 2.5212
4.5682 2.5212 4.5682
6.6152 4.5682 4.5682
2.5212 4.5682 4.5682
4.5682 6.6152 4.5682
4.5682 4.5682 6.6152
```

***

Entry 6:
# Cs2KNF6

A relaxed structure of Cs2KNF6 (GGA-PBEsol, Alexandria).

Computed properties:
- Total magnetization: 0.00 μB per cell
- DOS(E_F): 0.000 states/eV per cell
- Formation energy from raw total energies: -1589.3 kJ/mol of formula units

Geometry as POSCAR:
```
Cs2KNF6
1.0
0.0000 4.3767 4.3767
4.3767 0.0000 4.3767
4.3767 4.3767 0.0000
Cs K N F
2 1 1 6
Cartesian
2.1883 2.1883 2.1883
6.5650 6.5650 6.5650
0.0000 0.0000 0.0000
4.3767 4.3767 4.3767
4.3767 4.3767 2.5554
4.3767 2.5554 4.3767
6.1980 4.3767 4.3767
2.5554 4.3767 4.3767
4.3767 6.1980 4.3767
4.3767 4.3767 6.1980
```

***

Entry 7:
# Cs2KZrOF5

A relaxed structure of Cs2KZrOF5 (GGA-PBEsol, Alexandria).

Computed properties:
- Total magnetization: 0.11 μB per cell
- DOS(E_F): 0.000 states/eV per cell
- Formation energy from raw total energies: -3038.2 kJ/mol of formula units

Geometry as POSCAR:
```
Cs2KZrOF5
1.0
-3.2573 3.2573 4.6492
3.2573 -3.2573 4.6492
3.2573 3.2573 -4.6492
Cs K Zr O F
2 1 1 1 5
Cartesian
3.2573 0.0000 0.0000
0.0000 3.2573 0.0000
0.0000 0.0000 2.3983
0.0000 0.0000 6.8743
0.0000 0.0000 5.0085
1.8060 1.8060 2.4529
1.4513 -1.4513 7.1021
0.0000 0.0000 9.0812
-1.4513 1.4513 7.1021
1.4513 1.4513 7.1021
```

***

Entry 8:
# Cs2KPdF6

A relaxed structure of Cs2KPdF6 (GGA-PBEsol, Alexandria).

Computed properties:
- Total magnetization: 1.00 μB per cell
- Formation energy from raw total energies: -2196.8 kJ/mol of formula units

Geometry as POSCAR:
```
Cs2KPdF6
1.0
-3.1633 3.1633 4.6892
3.1633 -3.1633 4.6892
3.1633 3.1633 -4.6892
Cs K Pd F
2 1 1 6
Cartesian
3.1633 0.0000 2.3446
0.0000 3.1633 2.3446
0.0000 0.0000 0.0000
0.0000 0.0000 4.6892
0.0000 0.0000 2.5090
1.7761 1.7761 0.0000
1.3872 -1.3872 4.6892
-1.3872 1.3872 4.6892
1.3872 1.3872 4.6892
0.0000 0.0000 6.8695
```

***

Entry 9:
# Cs2KPrF6

A relaxed structure of Cs2KPrF6 (GGA-PBEsol, Alexandria).

Computed properties:
- Total magnetization: 0.08 μB per cell
- DOS(E_F): 0.000 states/eV per cell
- Formation energy from raw total energies: -3147.9 kJ/mol of formula units

Geometry as POSCAR:
```
Cs2KPrF6
1.0
0.0000 4.7987 4.7987
4.7987 0.0000 4.7987
4.7987 4.7987 0.0000
Cs K Pr F
2 1 1 6
Cartesian
2.3994 2.3994 2.3994
7.1981 7.1981 7.1981
0.0000 0.0000 0.0000
4.7987 4.7987 4.7987
4.7987 4.7987 2.5246
4.7987 2.5246 4.7987
7.0729 4.7987 4.7987
2.5246 4.7987 4.7987
4.7987 7.0729 4.7987
4.7987 4.7987 7.0729
```

***

Entry 10:
# Cs2KRuF6

A relaxed structure of Cs2KRuF6 (GGA-PBEsol, Alexandria).

Computed properties:
- Total magnetization: 1.00 μB per cell
- DOS(E_F): 10.704 states/eV per cell
- Formation energy from raw total energies: -2308.0 kJ/mol of formula units

Geometry as POSCAR:
```
Cs2KRuF6
1.0
0.0000 4.5154 4.5154
4.5154 0.0000 4.5154
4.5154 4.5154 0.0000
Cs K Ru F
2 1 1 6
Cartesian
2.2577 2.2577 2.2577
6.7730 6.7730 6.7730
0.0000 0.0000 0.0000
4.5154 4.5154 4.5154
4.5154 4.5154 2.5176
4.5154 2.5176 4.5154
6.5132 4.5154 4.5154
2.5176 4.5154 4.5154
4.5154 6.5132 4.5154
4.5154 4.5154 6.5132
```

***

Entry 11:
# Cs2KSbF6

A relaxed structure of Cs2KSbF6 (GGA-PBEsol, Alexandria).

Computed properties:
- Total magnetization: 0.00 μB per cell
- DOS(E_F): 0.000 states/eV per cell
- Formation energy from raw total energies: -2560.3 kJ/mol of formula units

Geometry as POSCAR:
```
Cs2KSbF6
1.0
0.0000 4.7167 4.7167
4.7167 0.0000 4.7167
4.7167 4.7167 0.0000
Cs K Sb F
2 1 1 6
Cartesian
2.3584 2.3584 2.3584
7.0751 7.0751 7.0751
0.0000 0.0000 0.0000
4.7167 4.7167 4.7167
4.7167 4.7167 2.5300
4.7167 2.5300 4.7167
6.9035 4.7167 4.7167
2.5300 4.7167 4.7167
4.7167 6.9035 4.7167
4.7167 4.7167 6.9035
```

***

Entry 12:
# Cs2KScF6

A relaxed structure of Cs2KScF6 (GGA-PBEsol, Alexandria).

Computed properties:
- Total magnetization: 0.15 μB per cell
- DOS(E_F): 0.000 states/eV per cell
- Formation energy from raw total energies: -3230.4 kJ/mol of formula units

Geometry as POSCAR:
```
Cs2KScF6
1.0
0.0000 4.5653 4.5653
4.5653 0.0000 4.5653
4.5653 4.5653 0.0000
Cs K Sc F
2 1 1 6
Cartesian
2.2826 2.2826 2.2826
6.8479 6.8479 6.8479
0.0000 0.0000 0.0000
4.5653 4.5653 4.5653
4.5653 4.5653 2.5462
4.5653 2.5462 4.5653
6.5844 4.5653 4.5653
2.5462 4.5653 4.5653
4.5653 6.5844 4.5653
4.5653 4.5653 6.5844
```

***

Entry 13:
# CsLaSnF2

A relaxed structure of CsLaSnF2 (GGA-PBEsol, Alexandria).

Computed properties:
- Total magnetization: 0.00 μB per cell
- DOS(E_F): 5.228 states/eV per cell
- Formation energy from raw total energies: -274.1 kJ/mol of formula units

Geometry as POSCAR:
```
CsLaSnF2
1.0
4.6081 0.0000 0.0000
0.0000 4.6081 0.0000
0.0000 0.0000 6.8735
Cs La Sn F
1 1 1 2
Cartesian
0.0000 0.0000 0.0000
2.3041 2.3041 0.0000
0.0000 0.0000 3.4367
0.0000 2.3041 3.4367
2.3041 0.0000 3.4367
```

***

Entry 14:
# CsLiF2

A relaxed structure of CsLiF2 (GGA-PBEsol, Alexandria).

Computed properties:
- Total magnetization: 0.01 μB per cell
- Energy relative to the lowest polymorph listed for this composition: 0.000 eV per atom
- DOS(E_F): 0.000 states/eV per cell
- Formation energy from raw total energies: -1090.8 kJ/mol of formula units

Geometry as POSCAR:
```
CsLiF2
1.0
2.9818 -5.7870 0.0000
2.9818 5.7870 0.0000
-0.6327 0.0000 8.0020
Cs Li F
4 4 8
Cartesian
1.1394 1.0583 3.4594
0.8230 -1.0583 7.4604
4.5080 1.0583 0.5415
4.1917 -1.0583 4.5425
0.9168 2.3023 6.8826
1.2332 -2.3023 2.8817
4.0978 2.3023 5.1203
4.4142 -2.3023 1.1193
2.8237 4.3248 2.0005
1.6139 1.6621 0.6429
2.5073 2.0735 6.0015
1.2976 -1.6621 4.6439
4.0335 1.6621 3.3581
2.8237 -2.0735 2.0005
3.7171 -1.6621 7.3591
2.5073 -4.3248 6.0015
```

***

Entry 15:
# CsLi3F4

A relaxed structure of CsLi3F4 (GGA-PBEsol, Alexandria).

Computed properties:
- Total magnetization: 0.00 μB per cell
- DOS(E_F): 0.000 states/eV per cell
- Formation energy from raw total energies: -2191.1 kJ/mol of formula units

Geometry as POSCAR:
```
CsLi3F4
1.0
5.0447 -2.7642 0.0000
5.0447 2.7642 0.0000
-2.8834 0.0000 7.2427
Cs Li F
2 6 8
Cartesian
0.8982 0.0000 1.9220
6.3078 0.0000 5.3207
-0.8293 0.0000 4.8481
0.1798 0.0000 6.9723
4.1379 0.0000 2.2541
3.0681 0.0000 4.9886
7.0262 0.0000 0.2704
8.0353 0.0000 2.3946
3.4263 1.3865 0.9815
3.6030 1.3827 3.6213
1.0679 0.0000 5.2133
3.7797 1.3865 6.2612
3.4263 -1.3865 0.9815
6.1381 0.0000 2.0293
3.6030 -1.3827 3.6213
3.7797 -1.3865 6.2612
```

***

Entry 16:
# Cs2LiF3

A relaxed structure of Cs2LiF3 (GGA-PBEsol, Alexandria).

Computed properties:
- Total magnetization: 0.22 μB per cell
- DOS(E_F): 0.000 states/eV per cell
- Formation energy from raw total energies: -1580.6 kJ/mol of formula units

Geometry as POSCAR:
```
Cs2LiF3
1.0
1.8803 -10.6736 0.0000
1.8803 10.6736 0.0000
0.0000 0.0000 5.9942
Cs Li F
4 2 6
Cartesian
1.8803 8.8892 4.4957
1.8803 4.3040 4.4957
1.8803 -4.3040 1.4986
1.8803 -8.8892 1.4986
1.8803 1.0261 4.4957
1.8803 -1.0261 1.4986
1.8803 8.7065 1.4986
1.8803 4.1999 1.4986
1.8803 0.0000 0.0000
1.8803 0.0000 2.9971
1.8803 -4.1999 4.4957
1.8803 -8.7065 4.4957
```

***

Entry 17:
# CsLiF2

A relaxed structure of CsLiF2 (GGA-PBEsol, Alexandria).

Computed properties:
- Total magnetization: 0.00 μB per cell
- Energy relative to the lowest polymorph listed for this composition: 0.048 eV per atom
- DOS(E_F): 0.000 states/eV per cell
- Formation energy from raw total energies: -1072.3 kJ/mol of formula units

Geometry as POSCAR:
```
CsLiF2
1.0
-3.0015 3.0015 3.7622
3.0015 -3.0015 3.7622
3.0015 3.0015 -3.7622
Cs Li F
2 2 4
Cartesian
0.0000 0.0000 0.0000
0.0000 3.0015 1.8811
3.0015 0.0000 1.8811
0.0000 0.0000 3.7622
1.5008 -0.6352 2.8217
2.3664 1.5008 0.9406
1.5008 3.6367 -0.9406
0.6352 1.5008 4.7028
```

***

Entry 18:
# Cs3LiF4

A relaxed structure of Cs3LiF4 (GGA-PBEsol, Alexandria).

Computed properties:
- Total magnetization: 0.16 μB per cell
- DOS(E_F): 0.000 states/eV per cell
- Formation energy from raw total energies: -2112.7 kJ/mol of formula units

Geometry as POSCAR:
```
Cs3LiF4
1.0
6.7627 -2.9928 0.0000
6.7627 2.9928 0.0000
-2.0845 0.0000 8.5238
Cs Li F
6 2 8
Cartesian
0.4984 0.0000 1.9789
1.2119 0.0000 5.5126
4.7636 0.0000 0.8250
6.6774 0.0000 7.6988
10.2291 0.0000 3.0112
10.9426 0.0000 6.5449
4.5306 0.0000 4.6289
6.9105 0.0000 3.8949
-0.0358 0.0000 8.0988
5.7205 1.4041 4.2619
3.1565 0.0000 3.3451
3.9804 0.0000 6.4531
7.4606 0.0000 2.0707
8.2845 0.0000 5.1787
5.7205 -1.4041 4.2619
11.4768 0.0000 0.4250
```

***

Entry 19:
# Cs2LiNdF6

A relaxed structure of Cs2LiNdF6 (GGA-PBEsol, Alexandria).

Computed properties:
- Total magnetization: 0.00 μB per cell
- DOS(E_F): 0.000 states/eV per cell
- Formation energy from raw total energies: -3178.6 kJ/mol of formula units

Geometry as POSCAR:
```
Cs2LiNdF6
1.0
0.0000 4.4249 4.4249
4.4249 0.0000 4.4249
4.4249 4.4249 0.0000
Cs Li Nd F
2 1 1 6
Cartesian
2.2125 2.2125 2.2125
6.6374 6.6374 6.6374
0.0000 0.0000 0.0000
4.4249 4.4249 4.4249
4.4249 4.4249 2.1541
4.4249 2.1541 4.4249
6.6957 4.4249 4.4249
2.1541 4.4249 4.4249
4.4249 6.6957 4.4249
4.4249 4.4249 6.6957
```

***

Entry 20:
# CsRb2LiF

A relaxed structure of CsRb2LiF (GGA-PBEsol, Alexandria).

Computed properties:
- Total magnetization: 0.00 μB per cell
- DOS(E_F): 2.771 states/eV per cell
- Formation energy from raw total energies: -310.3 kJ/mol of formula units

Geometry as POSCAR:
```
CsRb2LiF
1.0
7.9188 0.0000 0.0000
0.0000 7.9188 0.0000
0.0000 0.0000 5.0763
Cs Rb Li F
1 2 1 1
Cartesian
0.0000 0.0000 0.0000
0.0000 3.9594 0.0000
3.9594 0.0000 0.0000
3.9594 3.9594 2.5381
0.0000 0.0000 2.5381
```